{"formula": "HfZrZn2B", "functional": "PBE", "state": "relaxed", "lattice": [[4.902, 0.000, 0.000], [0.000, 4.902, 0.000], [0.000, 0.000, 4.265]], "species": ["Hf", "Zr", "Zn", "Zn", "B"], "frac_coords": [[0.000, 0.000, 0.000], [0.500, 0.500, 0.500], [0.000, 0.500, 0.000], [0.500, 0.000, 0.000], [0.000, 0.000, 0.500]], "sg": "P4/mmm (123)", "energy_ev_per_atom": -4.559, "dos_at_fermi_per_ev_cell": 5.4, "volume_a3_per_fu": 102.5}